Record 1
Computed, not measured: a relaxed BeNi2Ag crystal at the PBE level of DFT.

density of states at the Fermi level = 4.2 states/eV/cell
formation energy = 0.0334 eV per atom

a = 2.6292 Å, b = 2.6292 Å, c = 23.9767 Å
α = 90.00°, β = 90.00°, γ = 120.00°
Space group R-3m (No. 166, hexagonal axes)
Inequivalent atoms, fractional coordinates:
Be 0.0000 0.0000 0.0000 [3 per cell]
Ni 0.0000 0.0000 0.2639 [6 per cell]
Ag 0.0000 0.0000 0.5000 [3 per cell]

---

Record 2
Computed, not measured: a relaxed BeNiAg2 crystal at the PBE level of DFT.

density of states at the Fermi level = 3.6 states/eV/cell
formation energy = 0.2811 eV per atom

a = 2.7713 Å, b = 2.7713 Å, c = 25.1378 Å
α = 90.00°, β = 90.00°, γ = 120.00°
Space group R-3m (No. 166, hexagonal axes)
Inequivalent atoms, fractional coordinates:
Be 0.0000 0.0000 0.0000 [3 per cell]
Ni 0.0000 0.0000 0.5000 [3 per cell]
Ag 0.0000 0.0000 0.2547 [6 per cell]

---

Record 3
Computed, not measured: a relaxed BeNi2Ag crystal at the PBE level of DFT.

density of states at the Fermi level = 7.3 states/eV/cell
formation energy = 0.1659 eV per atom

a = 5.153 Å, b = 6.922 Å, c = 2.719 Å
α = 90.00°, β = 90.00°, γ = 90.00°
Space group Cmmm (No. 65)
Inequivalent atoms, fractional coordinates:
Be 0.000 0.000 0.000 [2 per cell]
Ni 0.250 0.250 0.500 [4 per cell]
Ag 0.000 0.500 0.000 [2 per cell]

---

Record 4
Computed, not measured: a relaxed BeNi2AgSn crystal at the PBE level of DFT.

density of states at the Fermi level = 5.1 states/eV/cell
formation energy = 1.2892 eV per atom

a = 4.664 Å, b = 4.664 Å, c = 5.057 Å
α = 90.00°, β = 90.00°, γ = 90.00°
Space group P4/mmm (No. 123)
Inequivalent atoms, fractional coordinates:
Be 0.000 0.000 0.000 [1 per cell]
Ni 0.000 0.500 0.500 [2 per cell]
Ag 0.500 0.500 0.000 [1 per cell]
Sn 0.500 0.500 0.500 [1 per cell]